# Mg2CdSb

A geometry-optimized Mg2CdSb structure (PBEsol, Alexandria).

Values from the calculation:
- crystal system = cubic
- raw total energy (eV per formula unit) = -9.649
- SG = Fm-3m, No. 225

```
Mg2CdSb
1.0
0.000 3.583 3.583
3.583 0.000 3.583
3.583 3.583 0.000
Mg Cd Sb
2 1 1
Cartesian
1.792 1.792 1.792
5.375 5.375 5.375
0.000 0.000 0.000
3.583 3.583 3.583
```


# Mg2CdSb

A geometry-optimized Mg2CdSb structure (PBEsol, Alexandria).

Values from the calculation:
- crystal system = monoclinic
- raw total energy (eV per formula unit) = -9.637
- SG = C2/m, No. 12

```
Mg2CdSb
1.0
4.546 -1.665 0.000
4.546 1.665 0.000
-1.325 0.000 6.142
Mg Cd Sb
2 1 1
Cartesian
1.962 0.000 1.398
5.806 0.000 4.744
4.546 0.000 0.000
-0.663 0.000 3.071
```


# MgCdSb2

A geometry-optimized MgCdSb2 structure (PBEsol, Alexandria).

Values from the calculation:
- crystal system = orthorhombic
- raw total energy (eV per formula unit) = -12.364
- SG = Pmm2, No. 25

```
MgCdSb2
1.0
5.190 0.000 0.000
0.000 5.916 0.000
0.000 0.000 3.222
Mg Cd Sb
1 1 2
Cartesian
0.000 0.000 0.000
2.595 2.958 1.621
0.000 2.958 0.008
2.595 0.000 1.615
```


Which of these has the lowest raw total energy?
MgCdSb2


The highest raw total energy belongs to which entry?
number 2